{
  "formula": "CsNdMnTe3",
  "functional": "GGA-PBE",
  "state": "relaxed",
  "formation_energy_uncorrected_mev_per_atom": -825.6,
  "sg": "No. 12",
  "e_tot_ev_per_atom": -4.862,
  "lattice": [[5.178, 0.000, 0.000], [-2.589, 8.499, 0.190], [0.000, -2.214, 9.655]],
  "species": ["Mn", "Te", "Cs", "Nd", "Mn", "Te", "Te", "Cs", "Te", "Te", "Nd", "Te"],
  "frac_coords": [[0.998, 0.996, 0.599], [0.852, 0.705, 0.251], [0.360, 0.719, 0.948], [0.351, 0.702, 0.448], [0.002, 0.004, 0.401], [0.148, 0.295, 0.749], [0.155, 0.310, 0.353], [0.640, 0.281, 0.052], [0.500, 0.999, 0.692], [0.845, 0.690, 0.647], [0.649, 0.298, 0.552], [0.500, 0.001, 0.308]]
}

---

{
  "formula": "Ac2TmPdS5",
  "functional": "GGA-PBE",
  "state": "relaxed",
  "formation_energy_uncorrected_mev_per_atom": -1790.5,
  "sg": "No. 36",
  "e_tot_ev_per_atom": -6.070,
  "lattice": [[-3.520, 1.875, -0.357], [2.304, -1.527, -8.287], [-5.849, -10.909, 0.384]],
  "species": ["S", "S", "Ac", "S", "S", "Ac", "Tm", "Pd", "Tm", "Ac", "S", "S", "Pd", "S", "S", "S", "Ac", "S"],
  "frac_coords": [[0.304, 0.608, 0.368], [0.500, 0.000, 0.248], [0.115, 0.231, 0.343], [0.500, 0.000, 0.748], [0.696, 0.392, 0.868], [0.874, 0.749, 0.197], [0.179, 0.357, 0.022], [0.449, 0.897, 0.429], [0.821, 0.643, 0.522], [0.126, 0.251, 0.697], [0.661, 0.323, 0.519], [0.019, 0.039, 0.026], [0.551, 0.103, 0.929], [0.307, 0.614, 0.674], [0.339, 0.677, 0.019], [0.981, 0.961, 0.526], [0.885, 0.769, 0.843], [0.693, 0.386, 0.174]]
}

---

{
  "formula": "NbPCS2",
  "functional": "GGA-PBE",
  "state": "relaxed",
  "formation_energy_uncorrected_mev_per_atom": 872.0,
  "sg": "No. 123",
  "e_tot_ev_per_atom": -5.720,
  "lattice": [[4.042, 0.000, 0.000], [0.000, 4.042, 0.000], [0.000, 0.000, 4.098]],
  "species": ["Nb", "C", "S", "S", "P"],
  "frac_coords": [[0.500, 0.500, 0.500], [0.000, 0.000, 0.000], [0.500, 0.000, 0.000], [0.000, 0.500, 0.000], [0.000, 0.000, 0.500]]
}

---

{
  "formula": "Tb2Y2In",
  "functional": "GGA-PBE",
  "state": "relaxed",
  "sg": "No. 127",
  "e_tot_ev_per_atom": -4.965,
  "e_form_ev_per_atom": 0.02,
  "lattice": [[4.660, 0.000, 0.000], [0.000, 8.197, 0.000], [0.000, 0.000, 8.198]],
  "species": ["In", "Tb", "Y", "In", "Tb", "Y", "Y", "Y", "Tb", "Tb"],
  "frac_coords": [[0.000, 0.000, 0.000], [0.000, 0.147, 0.353], [0.500, 0.154, 0.654], [0.000, 0.500, 0.500], [0.000, 0.853, 0.647], [0.500, 0.846, 0.346], [0.500, 0.346, 0.154], [0.500, 0.654, 0.846], [0.000, 0.353, 0.853], [0.000, 0.647, 0.147]]
}

---

{
  "formula": "Pm3Fe",
  "functional": "GGA-PBE",
  "state": "relaxed",
  "sg": "No. 25",
  "e_tot_ev_per_atom": -5.325,
  "e_form_ev_per_atom": 0.35,
  "lattice": [[3.633, 0.000, 0.000], [0.000, 3.427, 0.000], [0.000, 0.000, 9.445]],
  "species": ["Pm", "Pm", "Pm", "Fe"],
  "frac_coords": [[0.500, 0.000, 0.759], [0.500, 0.500, 0.130], [0.000, 0.500, 0.469], [0.000, 0.000, 0.975]]
}